1.
Compound: SrAs2H2Pt6
Source: Alexandria via LeMat-Bulk
Functional: GGA-PBE
Structure: optimized geometry

Cell lengths 5.9160, 6.3989, 6.5928 Å; angles 64.71, 66.67, 68.71 degrees
Space group P-1 (No. 2)
Unique sites:
1 Sr 0.0000 0.0000 0.0000
2 As 0.2992 0.2458 0.2581
3 H 0.2795 0.3347 0.7754
4 Pt 0.1257 0.5888 0.5623
5 Pt 0.4831 0.4255 0.8429
6 Pt 0.4978 0.8355 0.4216

DOS(E_F) = 3.763 states/eV/f.u.
Volume = 201.5 Å³/cell
VASP energy = -57.6 eV per formula unit

---

2.
Compound: Sr2AsHPt
Source: Alexandria via LeMat-Bulk
Functional: GGA-PBE
Structure: optimized geometry

Cell lengths 5.4593, 5.4593, 3.6614 Å; angles 90.00, 90.00, 90.00 degrees
Space group P4/mmm (No. 123)
Unique sites:
1 Sr 0.0000 0.5000 0.0000
2 As 0.0000 0.0000 0.5000
3 H 0.5000 0.5000 0.0000
4 Pt 0.5000 0.5000 0.5000

DOS(E_F) = 2.408 states/eV/f.u.
Volume = 109.1 Å³/cell
VASP energy = -21.3 eV per formula unit

---

3.
Compound: Pu3AsH2
Source: Alexandria via LeMat-Bulk
Functional: GGA-PBE
Structure: optimized geometry

Cell lengths 8.1344, 13.0054, 4.3199 Å; angles 90.00, 90.00, 90.00 degrees
Space group Cmcm (No. 63)
Unique sites:
1 Pu 0.0000 0.1008 0.2500
2 Pu 0.1926 0.3708 0.2500
3 As 0.0000 0.2643 0.7500
4 H 0.1798 0.0000 0.0000

DOS(E_F) = 20.573 states/eV/f.u.
Volume = 457.0 Å³/cell
VASP energy = -56.8 eV per formula unit

---

4.
Compound: Pu2AsH4
Source: Alexandria via LeMat-Bulk
Functional: GGA-PBE
Structure: optimized geometry

Cell lengths 6.9286, 6.9286, 3.7465 Å; angles 90.00, 90.00, 90.00 degrees
Space group P4_2/mnm (No. 136)
Unique sites:
1 Pu 0.2177 0.2177 0.0000
2 As 0.0000 0.0000 0.5000
3 H 0.0992 0.6620 0.0000

DOS(E_F) = 17.068 states/eV/f.u.
E above lowest polymorph = 81 meV/atom
Volume = 179.9 Å³/cell
VASP energy = -49.6 eV per formula unit

---

5.
Compound: Pu4As2H3
Source: Alexandria via LeMat-Bulk
Functional: GGA-PBE
Structure: optimized geometry

Cell lengths 5.8304, 14.5459, 7.2636 Å; angles 90.00, 90.00, 90.00 degrees
Space group Cmce (No. 64)
Unique sites:
1 Pu 0.0000 0.1975 0.0636
2 Pu 0.2500 0.0408 0.7500
3 As 0.0000 0.1165 0.4255
4 H 0.0000 0.0000 0.0000
5 H 0.2500 0.2082 0.7500

DOS(E_F) = 23.305 states/eV/f.u.
Volume = 616.0 Å³/cell
VASP energy = -82.3 eV per formula unit

---

6.
Compound: Pu4As2H
Source: Alexandria via LeMat-Bulk
Functional: GGA-PBE
Structure: optimized geometry

Cell lengths 4.3489, 4.3489, 16.1996 Å; angles 90.00, 90.00, 90.00 degrees
Space group I4/mmm (No. 139)
Unique sites:
1 Pu 0.0000 0.0000 0.1803
2 Pu 0.0000 0.5000 0.0000
3 As 0.0000 0.0000 0.3644
4 H 0.0000 0.0000 0.0000

DOS(E_F) = 27.236 states/eV/f.u.
Volume = 306.4 Å³/cell
VASP energy = -74.3 eV per formula unit

---

7.
Compound: Pu6As4H5
Source: Alexandria via LeMat-Bulk
Functional: GGA-PBE
Structure: optimized geometry

Cell lengths 4.0022, 18.0267, 14.6901 Å; angles 90.00, 90.00, 90.00 degrees
Space group Cmc2_1 (No. 36)
Unique sites:
1 Pu 0.0000 0.0635 0.0000
2 Pu 0.0000 0.0804 0.2706
3 Pu 0.0000 0.0801 0.7290
4 Pu 0.0000 0.2925 0.6256
5 Pu 0.0000 0.2926 0.3743
6 Pu 0.0000 0.3816 0.0000
7 As 0.0000 0.3145 0.8229
8 As 0.0000 0.3147 0.1772
9 As 0.0000 0.4803 0.6344
10 As 0.0000 0.4810 0.3658
11 H 0.0000 0.0615 0.5029
12 H 0.0000 0.1455 0.1236
13 H 0.0000 0.1452 0.8759
14 H 0.0000 0.2075 0.4999
15 H 0.0000 0.3637 0.5000

DOS(E_F) = 53.056 states/eV/f.u.
Volume = 1059.8 Å³/cell
VASP energy = -131.4 eV per formula unit

---

8.
Compound: Pu2AsH4
Source: Alexandria via LeMat-Bulk
Functional: GGA-PBE
Structure: optimized geometry

Cell lengths 3.7747, 3.7747, 21.1017 Å; angles 90.00, 90.00, 120.00 degrees
Space group R-3m (No. 166, hexagonal axes)
Unique sites:
1 Pu 0.0000 0.0000 0.2433
2 As 0.0000 0.0000 0.0000
3 H 0.0000 0.0000 0.1348
4 H 0.0000 0.0000 0.4357

DOS(E_F) = 15.521 states/eV/f.u.
E above lowest polymorph = 0 meV/atom
Volume = 260.4 Å³/cell
VASP energy = -50.2 eV per formula unit

---

9.
Compound: Pu3As3H
Source: Alexandria via LeMat-Bulk
Functional: GGA-PBE
Structure: optimized geometry

Cell lengths 7.8582, 11.9244, 6.7857 Å; angles 90.00, 95.25, 90.00 degrees
Space group C2/m (No. 12)
Unique sites:
1 Pu 0.1056 0.0000 0.3014
2 Pu 0.1961 0.3367 0.2257
3 As 0.0000 0.1677 0.0000
4 As 0.0000 0.2125 0.5000
5 As 0.0838 0.5000 0.8604
6 H 0.1834 0.0000 0.6471

DOS(E_F) = 32.531 states/eV/f.u.
Volume = 633.2 Å³/cell
VASP energy = -65.0 eV per formula unit

---

10.
Compound: Pu5As5H2
Source: Alexandria via LeMat-Bulk
Functional: GGA-PBE
Structure: optimized geometry

Cell lengths 13.0990, 4.0433, 9.7583 Å; angles 90.00, 103.29, 90.00 degrees
Space group C2/m (No. 12)
Unique sites:
1 Pu 0.0000 0.0000 0.0000
2 Pu 0.1051 0.0000 0.3711
3 Pu 0.1571 0.5000 0.8036
4 As 0.0000 0.5000 0.5000
5 As 0.1530 0.5000 0.1113
6 As 0.2398 0.0000 0.6410
7 H 0.0562 0.0000 0.7958

DOS(E_F) = 46.064 states/eV/f.u.
Volume = 503.0 Å³/cell
VASP energy = -109.3 eV per formula unit

---

11.
Compound: Pu2As2H
Source: Alexandria via LeMat-Bulk
Functional: GGA-PBE
Structure: optimized geometry

Cell lengths 4.1437, 16.4057, 5.8781 Å; angles 90.00, 90.00, 90.00 degrees
Space group Cmc2_1 (No. 36)
Unique sites:
1 Pu 0.0000 0.0832 0.0000
2 Pu 0.0000 0.3333 0.9716
3 As 0.0000 0.2920 0.4784
4 As 0.0000 0.4955 0.2310
5 H 0.0000 0.1226 0.3605

DOS(E_F) = 15.277 states/eV/f.u.
Volume = 399.6 Å³/cell
VASP energy = -44.9 eV per formula unit

---

12.
Compound: Pu5As4H
Source: Alexandria via LeMat-Bulk
Functional: GGA-PBE
Structure: optimized geometry

Cell lengths 9.0207, 9.0207, 5.8414 Å; angles 90.00, 90.00, 90.00 degrees
Space group I4 (No. 79)
Unique sites:
1 Pu 0.0000 0.0000 0.0000
2 Pu 0.0957 0.7165 0.5702
3 As 0.0910 0.6987 0.0722
4 H 0.0000 0.0000 0.5890

DOS(E_F) = 44.046 states/eV/f.u.
Volume = 475.3 Å³/cell
VASP energy = -101.5 eV per formula unit

---

13.
Compound: Pu6As5H
Source: Alexandria via LeMat-Bulk
Functional: GGA-PBE
Structure: optimized geometry

Cell lengths 7.0407, 12.2277, 7.0844 Å; angles 90.00, 109.70, 90.00 degrees
Space group C2/m (No. 12)
Unique sites:
1 Pu 0.2357 0.0000 0.2519
2 Pu 0.2372 0.1586 0.7395
3 As 0.0000 0.1762 0.0000
4 As 0.0000 0.3350 0.5000
5 As 0.0000 0.5000 0.0000
6 H 0.0000 0.0000 0.5000

DOS(E_F) = 52.490 states/eV/f.u.
Volume = 574.2 Å³/cell
VASP energy = -122.6 eV per formula unit

---

14.
Compound: Pu3As2H2
Source: Alexandria via LeMat-Bulk
Functional: GGA-PBE
Structure: optimized geometry

Cell lengths 10.6343, 3.9790, 6.9215 Å; angles 90.00, 107.13, 90.00 degrees
Space group C2/m (No. 12)
Unique sites:
1 Pu 0.0000 0.0000 0.0000
2 Pu 0.1981 0.5000 0.7414
3 As 0.0958 0.5000 0.3087
4 H 0.1837 0.0000 0.9062

DOS(E_F) = 21.962 states/eV/f.u.
Volume = 279.9 Å³/cell
VASP energy = -62.6 eV per formula unit

---

15.
Compound: Pu5As3H
Source: Alexandria via LeMat-Bulk
Functional: GGA-PBE
Structure: optimized geometry

Cell lengths 7.7688, 7.7688, 13.1402 Å; angles 90.00, 90.00, 90.00 degrees
Space group I4/mcm (No. 140)
Unique sites:
1 Pu 0.0000 0.0000 0.0000
2 Pu 0.1622 0.3378 0.1489
3 As 0.0000 0.0000 0.2500
4 As 0.1422 0.3578 0.5000
5 H 0.0000 0.5000 0.2500

DOS(E_F) = 32.973 states/eV/f.u.
Volume = 793.1 Å³/cell
VASP energy = -95.6 eV per formula unit

---

16.
Compound: Pu4As3H4
Source: Alexandria via LeMat-Bulk
Functional: GGA-PBE
Structure: optimized geometry

Cell lengths 7.0350, 7.0350, 7.0350 Å; angles 90.00, 90.00, 90.00 degrees
Space group I-43m (No. 217)
Unique sites:
1 Pu 0.1942 0.1942 0.1942
2 As 0.0000 0.0000 0.5000
3 H 0.1177 0.1177 0.8823

DOS(E_F) = 35.307 states/eV/f.u.
Volume = 348.2 Å³/cell
VASP energy = -91.6 eV per formula unit

---

17.
Compound: PuAsHRh
Source: Alexandria via LeMat-Bulk
Functional: GGA-PBE
Structure: optimized geometry

Cell lengths 4.0442, 4.0442, 7.3361 Å; angles 90.00, 90.00, 90.00 degrees
Space group P4/nmm (No. 129, origin choice 2)
Unique sites:
1 Pu 0.2500 0.2500 0.1518
2 As 0.2500 0.2500 0.7050
3 H 0.2500 0.7500 0.0000
4 Rh 0.2500 0.7500 0.5000

DOS(E_F) = 8.841 states/eV/f.u.
Volume = 120.0 Å³/cell
VASP energy = -32.5 eV per formula unit

---

18.
Compound: PuAsH2Rh
Source: Alexandria via LeMat-Bulk
Functional: GGA-PBE
Structure: optimized geometry

Cell lengths 4.0128, 10.3112, 6.0798 Å; angles 90.00, 90.00, 90.00 degrees
Space group Cmcm (No. 63)
Unique sites:
1 Pu 0.0000 0.2116 0.2500
2 As 0.0000 0.0736 0.7500
3 H 0.0000 0.3358 0.5660
4 Rh 0.0000 0.5000 0.0000

DOS(E_F) = 9.203 states/eV/f.u.
Volume = 251.6 Å³/cell
VASP energy = -35.8 eV per formula unit

---

19.
Compound: PuAsHRh2
Source: Alexandria via LeMat-Bulk
Functional: GGA-PBE
Structure: optimized geometry

Cell lengths 3.9292, 10.7451, 7.1849 Å; angles 90.00, 90.00, 90.00 degrees
Space group Cmcm (No. 63)
Unique sites:
1 Pu 0.0000 0.0553 0.2500
2 As 0.0000 0.2245 0.7500
3 H 0.0000 0.5000 0.0000
4 Rh 0.0000 0.3412 0.0520

DOS(E_F) = 11.671 states/eV/f.u.
Volume = 303.3 Å³/cell
VASP energy = -39.9 eV per formula unit

---

20.
Compound: PuAsH2Ru
Source: Alexandria via LeMat-Bulk
Functional: GGA-PBE
Structure: optimized geometry

Cell lengths 4.0033, 10.4114, 5.8563 Å; angles 90.00, 90.00, 90.00 degrees
Space group Cmcm (No. 63)
Unique sites:
1 Pu 0.0000 0.2087 0.2500
2 As 0.0000 0.0776 0.7500
3 H 0.0000 0.3366 0.5674
4 Ru 0.0000 0.5000 0.0000

DOS(E_F) = 8.868 states/eV/f.u.
Volume = 244.1 Å³/cell
VASP energy = -37.5 eV per formula unit

---

21.
Compound: RbAsH
Source: Alexandria via LeMat-Bulk
Functional: GGA-PBE
Structure: optimized geometry

Cell lengths 3.2998, 5.0662, 4.2565 Å; angles 90.00, 90.00, 90.00 degrees
Space group Pmm2 (No. 25)
Unique sites:
1 Rb 0.0000 0.0000 0.0000
2 As 0.5000 0.5000 0.4842
3 H 0.5000 0.5000 0.8514

DOS(E_F) = 1.572 states/eV/f.u.
E above lowest polymorph = 160 meV/atom
Volume = 71.2 Å³/cell
VASP energy = -9.3 eV per formula unit